# 1
Below is PuTl3Hg3 after structural relaxation, with properties calculated at the PBE-GGA level.

a = 8.2045 Å, b = 8.2045 Å, c = 8.2045 Å
α = 90.00°, β = 90.00°, γ = 90.00°
Element x y z (fractional)
Pu: 0.0000 0.0000 0.0000
Pu: 0.5000 0.5000 0.5000
Tl: 0.0000 0.2500 0.5000
Tl: 0.0000 0.7500 0.5000
Tl: 0.2500 0.5000 0.0000
Tl: 0.5000 0.0000 0.2500
Tl: 0.5000 0.0000 0.7500
Tl: 0.7500 0.5000 0.0000
Hg: 0.0000 0.5000 0.2500
Hg: 0.0000 0.5000 0.7500
Hg: 0.2500 0.0000 0.5000
Hg: 0.5000 0.2500 0.0000
Hg: 0.5000 0.7500 0.0000
Hg: 0.7500 0.0000 0.5000

Calculated values
- ρ (g/cm3) = 8.773
- space group = No. 223
- ΔH_f (0 K) (eV/atom) = 0.457
- total moment (μB/cell) = 12.46
- calculated total energy (eV/cell) = -38.27

=====

# 2
Below is PuTlHg2 after structural relaxation, with properties calculated at the PBE-GGA level.

a = 4.8734 Å, b = 4.8734 Å, c = 4.4630 Å
α = 90.00°, β = 90.00°, γ = 90.00°
Element x y z (fractional)
Pu: 0.0000 0.0000 0.0000
Tl: 0.5000 0.5000 0.0000
Hg: 0.0000 0.5000 0.5000
Hg: 0.5000 0.0000 0.5000

Calculated values
- ρ (g/cm3) = 13.309
- space group = No. 123
- ΔH_f (0 K) (eV/atom) = -0.066
- total moment (μB/cell) = 6.32
- calculated total energy (eV/cell) = -17.56

=====

# 3
Below is PuTlHg2 after structural relaxation, with properties calculated at the PBE-GGA level.

a = 5.8365 Å, b = 5.8365 Å, c = 3.3211 Å
α = 90.00°, β = 90.00°, γ = 109.25°
Element x y z (fractional)
Pu: 0.0000 0.0000 0.0000
Tl: 0.5000 0.5000 0.0000
Hg: 0.0000 0.5000 0.5000
Hg: 0.5000 0.0000 0.5000

Calculated values
- ρ (g/cm3) = 13.208
- space group = No. 65
- ΔH_f (0 K) (eV/atom) = -0.047
- total moment (μB/cell) = 6.23
- calculated total energy (eV/cell) = -17.49

=====

# 4
Below is PuTlHg2 after structural relaxation, with properties calculated at the PBE-GGA level.

a = 3.4840 Å, b = 3.4840 Å, c = 8.7523 Å
α = 90.00°, β = 90.00°, γ = 90.00°
Element x y z (fractional)
Pu: 0.0000 0.0000 0.0000
Tl: 0.0000 0.0000 0.5000
Hg: 0.5000 0.5000 0.2445
Hg: 0.5000 0.5000 0.7555

Calculated values
- ρ (g/cm3) = 13.279
- space group = No. 123
- ΔH_f (0 K) (eV/atom) = -0.070
- total moment (μB/cell) = 5.99
- calculated total energy (eV/cell) = -17.58

=====

# 5
Below is PuTl4Hg15 after structural relaxation, with properties calculated at the PBE-GGA level.

a = 4.5428 Å, b = 4.8848 Å, c = 25.1394 Å
α = 90.00°, β = 90.19°, γ = 90.00°
Element x y z (fractional)
Pu: 0.0000 0.0000 0.0000
Tl: 0.0001 0.0000 0.1984
Tl: 0.9999 0.0000 0.8016
Tl: 0.0023 0.0000 0.3999
Tl: 0.9977 0.0000 0.6001
Hg: 0.0000 0.5000 0.5000
Hg: 0.0005 0.5000 0.0930
Hg: 0.0044 0.5000 0.2968
Hg: 0.4968 0.0000 0.7025
Hg: 0.4973 0.5000 0.6035
Hg: 0.5004 0.0000 0.0944
Hg: 0.5000 0.0000 0.5000
Hg: 0.4996 0.0000 0.9056
Hg: 0.5000 0.5000 0.0000
Hg: 0.4999 0.5000 0.1905
Hg: 0.5001 0.5000 0.8095
Hg: 0.5032 0.0000 0.2975
Hg: 0.5027 0.5000 0.3965
Hg: 0.9956 0.5000 0.7032
Hg: 0.9995 0.5000 0.9070

Calculated values
- ρ (g/cm3) = 12.116
- space group = No. 10
- ΔH_f (0 K) (eV/atom) = -0.041
- total moment (μB/cell) = 6.06
- calculated total energy (eV/cell) = -29.14

=====

# 6
Below is PuTlHg3 after structural relaxation, with properties calculated at the PBE-GGA level.

a = 9.9141 Å, b = 9.9141 Å, c = 5.5869 Å
α = 90.00°, β = 90.00°, γ = 144.64°
Element x y z (fractional)
Pu: 0.1527 0.8473 0.7500
Pu: 0.8473 0.1527 0.2500
Tl: 0.4531 0.5469 0.7500
Tl: 0.5469 0.4531 0.2500
Hg: 0.0000 0.0000 0.0000
Hg: 0.0000 0.0000 0.5000
Hg: 0.0468 0.4468 0.7500
Hg: 0.4468 0.0468 0.2500
Hg: 0.5532 0.9532 0.7500
Hg: 0.9532 0.5532 0.2500

Calculated values
- ρ (g/cm3) = 10.974
- space group = No. 63
- ΔH_f (0 K) (eV/atom) = 0.124
- total moment (μB/cell) = 12.25
- calculated total energy (eV/cell) = -33.96